Record 1
Ag3Os | PBEsol | optimized geometry

a b c (Å): 5.0424 5.0424 5.0424
angles (deg): 90.00 90.00 90.00
Atoms (fractional coordinates):
Ag (0.0000, 0.0000, 0.5000)
Ag (0.0000, 0.5000, 0.0000)
Ag (0.5000, 0.0000, 0.0000)
Os (0.0000, 0.0000, 0.0000)

Properties
D(E_F) in states/eV/f.u.: 4.26
Magnetization in Bohr magnetons per cell: 1.80
Uncorrected energy in eV for the cell shown: -13.75
Energy of formation in kJ/mol of formula units: 810
Space group: No. 221

Record 2
YAsCl | PBEsol | optimized geometry

a b c (Å): 3.3135 3.3135 12.7965
angles (deg): 90.00 90.00 90.00
Atoms (fractional coordinates):
Y (0.0000, 0.0000, 0.0000)
Y (0.5000, 0.5000, 0.5000)
As (0.0000, 0.0000, 0.6439)
As (0.5000, 0.5000, 0.1439)
Cl (0.0000, 0.0000, 0.3724)
Cl (0.5000, 0.5000, 0.8724)

Properties
Raw formation energy in eV/atom: -1.17
D(E_F) in states/eV/f.u.: 0.61
Magnetization in Bohr magnetons per cell: 0.00
Uncorrected energy in eV for the cell shown: -34.88
Space group: No. 107

Record 3
AlFe2Si | PBEsol | optimized geometry

a b c (Å): 2.7762 2.7762 5.5782
angles (deg): 90.00 90.00 90.00
Atoms (fractional coordinates):
Al (0.0000, 0.0000, 0.0000)
Fe (0.5000, 0.5000, 0.2658)
Fe (0.5000, 0.5000, 0.7342)
Si (0.0000, 0.0000, 0.5000)

Properties
Raw formation energy in eV/atom: -0.55
D(E_F) in states/eV/f.u.: 4.21
Magnetization in Bohr magnetons per cell: 0.00
Uncorrected energy in eV for the cell shown: -29.98
Space group: No. 123

Record 4
LaZnCo | PBEsol | optimized geometry

a b c (Å): 4.1670 4.1670 3.9392
angles (deg): 90.00 90.00 120.00
Atoms (fractional coordinates):
La (0.0000, 0.0000, 0.0000)
Zn (0.3333, 0.6667, 0.5000)
Co (0.6667, 0.3333, 0.5000)

Properties
D(E_F) in states/eV/f.u.: 1.67
Magnetization in Bohr magnetons per cell: 0.00
Uncorrected energy in eV for the cell shown: -14.98
Energy of formation in kJ/mol of formula units: -31
Space group: No. 187

Record 5
Ca2YGeW | PBEsol | optimized geometry

a b c (Å): 5.4017 5.4017 5.2038
angles (deg): 90.00 90.00 90.00
Atoms (fractional coordinates):
Ca (0.0000, 0.5000, 0.0000)
Ca (0.5000, 0.0000, 0.0000)
Y (0.0000, 0.0000, 0.5000)
Ge (0.5000, 0.5000, 0.5000)
W (0.0000, 0.0000, 0.0000)

Properties
D(E_F) in states/eV/f.u.: 5.59
Magnetization in Bohr magnetons per cell: 0.00
Uncorrected energy in eV for the cell shown: -25.10
Energy of formation in kJ/mol of formula units: 457
Space group: No. 123

Record 6
CrRe2Se | PBEsol | optimized geometry

a b c (Å): 2.9619 4.5640 8.7385
angles (deg): 90.00 90.00 90.00
Atoms (fractional coordinates):
Cr (0.0000, 0.0000, 0.0000)
Cr (0.5000, 0.5000, 0.0000)
Re (0.0000, 0.0000, 0.5215)
Re (0.0000, 0.5000, 0.7671)
Re (0.5000, 0.0000, 0.7671)
Re (0.5000, 0.5000, 0.5215)
Se (0.0000, 0.5000, 0.2248)
Se (0.5000, 0.0000, 0.2248)

Properties
Raw formation energy in eV/atom: 0.55
D(E_F) in states/eV/f.u.: 4.23
Magnetization in Bohr magnetons per cell: 2.19
Uncorrected energy in eV for the cell shown: -77.08
Space group: No. 35

Record 7
Sr3ZnGa | PBEsol | optimized geometry

a b c (Å): 6.0436 6.0436 6.0436
angles (deg): 90.00 90.00 90.00
Atoms (fractional coordinates):
Sr (0.0000, 0.0000, 0.5000)
Sr (0.0000, 0.5000, 0.0000)
Sr (0.5000, 0.0000, 0.0000)
Zn (0.5000, 0.5000, 0.5000)
Ga (0.0000, 0.0000, 0.0000)

Properties
D(E_F) in states/eV/f.u.: 7.65
Magnetization in Bohr magnetons per cell: 0.86
Uncorrected energy in eV for the cell shown: -9.65
Energy of formation in kJ/mol of formula units: 77
Space group: No. 221

Record 8
Cs2BaTeAs | PBEsol | optimized geometry

a b c (Å): 7.9258 7.9258 6.1994
angles (deg): 90.00 90.00 90.00
Atoms (fractional coordinates):
Cs (0.0000, 0.5000, 0.0000)
Cs (0.5000, 0.0000, 0.0000)
Ba (0.0000, 0.0000, 0.0000)
Te (0.0000, 0.0000, 0.5000)
As (0.5000, 0.5000, 0.5000)

Properties
Raw formation energy in eV/atom: 0.28
D(E_F) in states/eV/f.u.: 5.48
Magnetization in Bohr magnetons per cell: 2.16
Uncorrected energy in eV for the cell shown: -11.25
Space group: No. 123

Record 9
K2Na2MoW3O12 | PBEsol | optimized geometry

a b c (Å): 3.8914 7.8105 7.8066
angles (deg): 90.00 90.00 90.00
Atoms (fractional coordinates):
K (0.0000, 0.2474, 0.0000)
K (0.0000, 0.7526, 0.0000)
Na (0.0000, 0.2424, 0.5102)
Na (0.0000, 0.7576, 0.5102)
Mo (0.5000, 0.0000, 0.7505)
W (0.5000, 0.0000, 0.2548)
W (0.5000, 0.5000, 0.2545)
W (0.5000, 0.5000, 0.7499)
O (0.0000, 0.0000, 0.2574)
O (0.0000, 0.0000, 0.7482)
O (0.0000, 0.5000, 0.2559)
O (0.0000, 0.5000, 0.7481)
O (0.5000, 0.0000, 0.0062)
O (0.5000, 0.0000, 0.5004)
O (0.5000, 0.2509, 0.2568)
O (0.5000, 0.2529, 0.7478)
O (0.5000, 0.5000, 0.0031)
O (0.5000, 0.5000, 0.5014)
O (0.5000, 0.7471, 0.7478)
O (0.5000, 0.7491, 0.2568)

Properties
Raw formation energy in eV/atom: -2.15
D(E_F) in states/eV/f.u.: 2.99
Magnetization in Bohr magnetons per cell: 0.00
Uncorrected energy in eV for the cell shown: -164.23
Space group: No. 25

Record 10
GaP3H | PBEsol | optimized geometry

a b c (Å): 4.6572 4.6572 4.6572
angles (deg): 90.00 90.00 90.00
Atoms (fractional coordinates):
Ga (0.0000, 0.0000, 0.0000)
P (0.0000, 0.0000, 0.5000)
P (0.0000, 0.5000, 0.0000)
P (0.5000, 0.0000, 0.0000)
H (0.5000, 0.5000, 0.5000)

Properties
D(E_F) in states/eV/f.u.: 3.11
Magnetization in Bohr magnetons per cell: 0.86
Uncorrected energy in eV for the cell shown: -16.58
Space group: No. 221

Record 11
HgPbAu | PBEsol | optimized geometry

a b c (Å): 4.6442 4.6442 3.8174
angles (deg): 90.00 90.00 120.00
Atoms (fractional coordinates):
Hg (0.0000, 0.0000, 0.0000)
Pb (0.3333, 0.6667, 0.4371)
Au (0.6667, 0.3333, 0.7808)

Properties
D(E_F) in states/eV/f.u.: 1.28
Magnetization in Bohr magnetons per cell: 0.00
Uncorrected energy in eV for the cell shown: -8.38
Energy of formation in kJ/mol of formula units: 10
Space group: No. 156

Record 12
TlSb2Br | PBEsol | optimized geometry

a b c (Å): 4.2913 4.2913 24.2233
angles (deg): 90.00 90.00 120.00
Atoms (fractional coordinates):
Tl (0.0000, 0.0000, 0.0000)
Tl (0.3333, 0.6667, 0.6667)
Tl (0.6667, 0.3333, 0.3333)
Sb (0.0000, 0.0000, 0.4952)
Sb (0.0000, 0.0000, 0.7648)
Sb (0.3333, 0.6667, 0.1618)
Sb (0.3333, 0.6667, 0.4314)
Sb (0.6667, 0.3333, 0.0981)
Sb (0.6667, 0.3333, 0.8285)
Br (0.0000, 0.0000, 0.2589)
Br (0.3333, 0.6667, 0.9255)
Br (0.6667, 0.3333, 0.5922)

Properties
Raw formation energy in eV/atom: -0.27
D(E_F) in states/eV/f.u.: 0.18
Magnetization in Bohr magnetons per cell: 0.00
Uncorrected energy in eV for the cell shown: -44.12
Space group: No. 160

Record 13
LiCu2Sn | PBEsol | optimized geometry

a b c (Å): 4.2242 4.2242 7.5817
angles (deg): 90.00 90.00 120.00
Atoms (fractional coordinates):
Li (0.0000, 0.0000, 0.0000)
Li (0.0000, 0.0000, 0.5000)
Cu (0.3333, 0.6667, 0.0893)
Cu (0.3333, 0.6667, 0.4107)
Cu (0.6667, 0.3333, 0.5893)
Cu (0.6667, 0.3333, 0.9107)
Sn (0.3333, 0.6667, 0.7500)
Sn (0.6667, 0.3333, 0.2500)

Properties
D(E_F) in states/eV/f.u.: 0.83
Magnetization in Bohr magnetons per cell: 0.00
Uncorrected energy in eV for the cell shown: -31.38
Energy of formation in kJ/mol of formula units: -77
Space group: No. 194

Record 14
Li2Ti3ZnO8 | PBEsol | optimized geometry

a b c (Å): 8.3362 8.3362 8.3362
angles (deg): 90.00 90.00 90.00
Atoms (fractional coordinates):
Li (0.0030, 0.4970, 0.5030)
Li (0.1243, 0.8757, 0.3757)
Li (0.3757, 0.1243, 0.8757)
Li (0.4970, 0.5030, 0.0030)
Li (0.5030, 0.0030, 0.4970)
Li (0.6243, 0.6243, 0.6243)
Li (0.8757, 0.3757, 0.1243)
Li (0.9970, 0.9970, 0.9970)
Ti (0.1195, 0.6275, 0.1357)
Ti (0.1275, 0.3643, 0.8805)
Ti (0.1357, 0.1195, 0.6275)
Ti (0.3643, 0.8805, 0.1275)
Ti (0.3725, 0.6357, 0.3805)
Ti (0.3805, 0.3725, 0.6357)
Ti (0.6195, 0.8725, 0.8643)
Ti (0.6275, 0.1357, 0.1195)
Ti (0.6357, 0.3805, 0.3725)
Ti (0.8643, 0.6195, 0.8725)
Ti (0.8725, 0.8643, 0.6195)
Ti (0.8805, 0.1275, 0.3643)
Zn (0.2469, 0.7469, 0.7531)
Zn (0.2531, 0.2531, 0.2531)
Zn (0.7469, 0.7531, 0.2469)
Zn (0.7531, 0.2469, 0.7469)
O (0.1090, 0.1269, 0.3894)
O (0.1106, 0.8910, 0.6269)
O (0.1116, 0.6116, 0.8884)
O (0.1237, 0.1421, 0.8591)
O (0.1269, 0.3894, 0.1090)
O (0.1393, 0.3607, 0.6393)
O (0.1409, 0.6237, 0.3579)
O (0.1421, 0.8591, 0.1237)
O (0.3579, 0.1409, 0.6237)
O (0.3591, 0.3763, 0.8579)
O (0.3607, 0.6393, 0.1393)
O (0.3731, 0.6106, 0.6090)
O (0.3763, 0.8579, 0.3591)
O (0.3884, 0.3884, 0.3884)
O (0.3894, 0.1090, 0.1269)
O (0.3910, 0.8731, 0.8894)
O (0.6090, 0.3731, 0.6106)
O (0.6106, 0.6090, 0.3731)
O (0.6116, 0.8884, 0.1116)
O (0.6237, 0.3579, 0.1409)
O (0.6269, 0.1106, 0.8910)
O (0.6393, 0.1393, 0.3607)
O (0.6409, 0.8763, 0.6421)
O (0.6421, 0.6409, 0.8763)
O (0.8579, 0.3591, 0.3763)
O (0.8591, 0.1237, 0.1421)
O (0.8607, 0.8607, 0.8607)
O (0.8731, 0.8894, 0.3910)
O (0.8763, 0.6421, 0.6409)
O (0.8884, 0.1116, 0.6116)
O (0.8894, 0.3910, 0.8731)
O (0.8910, 0.6269, 0.1106)

Properties
Raw formation energy in eV/atom: -2.68
D(E_F) in states/eV/f.u.: 0.00
Magnetization in Bohr magnetons per cell: 0.00
Uncorrected energy in eV for the cell shown: -440.17
Space group: No. 198

Record 15
SrTlRh2 | PBEsol | optimized geometry

a b c (Å): 4.6235 4.6235 15.5409
angles (deg): 90.00 90.00 120.00
Atoms (fractional coordinates):
Sr (0.0000, 0.0000, 0.0000)
Sr (0.3333, 0.6667, 0.6667)
Sr (0.6667, 0.3333, 0.3333)
Tl (0.0000, 0.0000, 0.5000)
Tl (0.3333, 0.6667, 0.1667)
Tl (0.6667, 0.3333, 0.8333)
Rh (0.0000, 0.0000, 0.1832)
Rh (0.0000, 0.0000, 0.8168)
Rh (0.3333, 0.6667, 0.4835)
Rh (0.3333, 0.6667, 0.8498)
Rh (0.6667, 0.3333, 0.1502)
Rh (0.6667, 0.3333, 0.5165)

Properties
D(E_F) in states/eV/f.u.: 3.69
Magnetization in Bohr magnetons per cell: 0.01
Uncorrected energy in eV for the cell shown: -63.52
Energy of formation in kJ/mol of formula units: -41
Space group: No. 166

Record 16
Mn3SiGe | PBEsol | optimized geometry

a b c (Å): 4.3744 4.3744 4.3744
angles (deg): 90.00 90.00 90.00
Atoms (fractional coordinates):
Mn (0.0000, 0.0000, 0.5000)
Mn (0.0000, 0.5000, 0.0000)
Mn (0.5000, 0.0000, 0.0000)
Si (0.0000, 0.0000, 0.0000)
Ge (0.5000, 0.5000, 0.5000)

Properties
Raw formation energy in eV/atom: 0.69
D(E_F) in states/eV/f.u.: 3.24
Magnetization in Bohr magnetons per cell: 9.90
Uncorrected energy in eV for the cell shown: -36.51
Space group: No. 221

Record 17
K2TlInBr6 | PBEsol | optimized geometry

a b c (Å): 8.0536 8.0536 8.0536
angles (deg): 60.00 60.00 60.00
Atoms (fractional coordinates):
K (0.2500, 0.2500, 0.2500)
K (0.7500, 0.7500, 0.7500)
Tl (0.0000, 0.0000, 0.0000)
In (0.5000, 0.5000, 0.5000)
Br (0.2659, 0.2659, 0.7341)
Br (0.2659, 0.7341, 0.2659)
Br (0.2659, 0.7341, 0.7341)
Br (0.7341, 0.2659, 0.2659)
Br (0.7341, 0.2659, 0.7341)
Br (0.7341, 0.7341, 0.2659)

Properties
Raw formation energy in eV/atom: -1.12
Magnetization in Bohr magnetons per cell: 0.00
Uncorrected energy in eV for the cell shown: -30.29
Space group: No. 225

Record 18
TlZnSnC2 | PBEsol | optimized geometry

a b c (Å): 4.1086 4.1086 5.3338
angles (deg): 90.00 90.00 90.00
Atoms (fractional coordinates):
Tl (0.0000, 0.0000, 0.0000)
Zn (0.0000, 0.0000, 0.5000)
Sn (0.5000, 0.5000, 0.0000)
C (0.0000, 0.5000, 0.5000)
C (0.5000, 0.0000, 0.5000)

Properties
D(E_F) in states/eV/f.u.: 3.23
Magnetization in Bohr magnetons per cell: 0.36
Uncorrected energy in eV for the cell shown: -17.66
Energy of formation in kJ/mol of formula units: 975
Space group: No. 123

Record 19
MnNb2BrCl | PBEsol | optimized geometry

a b c (Å): 4.4709 4.4709 5.7690
angles (deg): 90.00 90.00 90.00
Atoms (fractional coordinates):
Mn (0.0000, 0.0000, 0.0000)
Nb (0.0000, 0.5000, 0.5000)
Nb (0.5000, 0.0000, 0.5000)
Br (0.5000, 0.5000, 0.0000)
Cl (0.5000, 0.5000, 0.5000)

Properties
Raw formation energy in eV/atom: 1.11
D(E_F) in states/eV/f.u.: 4.83
Magnetization in Bohr magnetons per cell: 3.70
Uncorrected energy in eV for the cell shown: -29.74
Space group: No. 123

Record 20
Li3MgHg | PBEsol | optimized geometry

a b c (Å): 4.9157 4.9157 4.9157
angles (deg): 90.00 90.00 90.00
Atoms (fractional coordinates):
Li (0.0000, 0.0000, 0.5000)
Li (0.0000, 0.5000, 0.0000)
Li (0.5000, 0.0000, 0.0000)
Mg (0.5000, 0.5000, 0.5000)
Hg (0.0000, 0.0000, 0.0000)

Properties
D(E_F) in states/eV/f.u.: 2.14
Magnetization in Bohr magnetons per cell: 0.00
Uncorrected energy in eV for the cell shown: -7.88
Energy of formation in kJ/mol of formula units: 30
Space group: No. 221